Entry a
Density functional theory data (PBE-GGA) for a relaxed structure of BaSrTe2N.

Geometry as POSCAR:
```
BaSrTe2N
1.0
-0.9947 2.2729 -5.9499
-6.0430 -2.2396 0.1547
-1.4838 4.1298 1.8257
Te N Ba Sr
2 1 1 1
Cartesian
-0.4974 1.1364 -2.9750
-3.0215 -1.1198 0.0774
-0.7419 2.0649 0.9128
0.0000 0.0000 0.0000
-4.2608 2.0815 -1.9848
```

Its density of states at the Fermi level is 0.79 states/eV per atom. As for the calculated volume: 39.50 Å³ per atom. Its magnetic moment is 1.57 μB per formula unit.



Entry b
Density functional theory data (PBE-GGA) for a relaxed structure of BaSrTe2N.

Geometry as POSCAR:
```
BaSrTe2N
1.0
6.2530 0.0000 0.0000
0.0000 6.2530 0.0000
0.0000 0.0000 4.9329
Te Sr Ba N
2 1 1 1
Cartesian
0.0000 3.1265 0.0000
3.1265 0.0000 0.0000
0.0000 0.0000 0.0000
3.1265 3.1265 2.4665
0.0000 0.0000 2.4665
```

Its density of states at the Fermi level is 0.87 states/eV per atom. As for the calculated volume: 38.58 Å³ per atom. Its magnetic moment is 2.47 μB per formula unit.



Among the structures above, stability is greatest for entry b.